# 1
A plane-wave DFT calculation with PBE was carried out for crystalline Tb3Y6Tm at its relaxed geometry.

Calculated values
- symmetry = Cmc2_1, No. 36
- formation energy (meV/atom) = 144
- N(E_F) (states/eV/cell) = 30.62
- ρ (g/cm³) = 6.0

Lattice parameters (Å, degrees): 6.258 10.949 10.949 119.89 90.00 90.00
Atoms (fractional coordinates):
Y 0.540 0.619 0.710
Y 0.859 0.953 0.536
Y 0.040 0.381 0.290
Y 0.151 0.721 0.279
Y 0.409 0.953 0.047
Y 0.359 0.536 0.953
Y 0.909 0.047 0.953
Y 0.859 0.464 0.047
Y 0.540 0.290 0.381
Y 0.040 0.710 0.619
Y 0.359 0.047 0.464
Y 0.651 0.279 0.721
Tb 0.955 0.720 0.940
Tb 0.071 0.390 0.610
Tb 0.455 0.280 0.060
Tb 0.455 0.940 0.720
Tb 0.955 0.060 0.280
Tb 0.571 0.610 0.390
Tm 0.646 0.794 0.206
Tm 0.146 0.206 0.794

# 2
A plane-wave DFT calculation with PBE was carried out for crystalline Ni2MoW2 at its relaxed geometry.

Calculated values
- symmetry = I4/mmm, No. 139
- formation energy (meV/atom) = 531
- N(E_F) (states/eV/cell) = 4.88
- ρ (g/cm³) = 12.9

Lattice parameters (Å, degrees): 6.047 6.047 6.047 144.28 144.28 51.42
Atoms (fractional coordinates):
Ni 0.402 0.402 0.000
Ni 0.598 0.598 0.000
Mo 0.000 0.000 0.000
W 0.750 0.250 0.500
W 0.250 0.750 0.500

# 3
A plane-wave DFT calculation with PBE was carried out for crystalline KFe2Cl8 at its relaxed geometry.

Calculated values
- symmetry = C2/m, No. 12
- formation energy from raw total energies (eV/atom) = -0.91
- N(E_F) (states/eV/cell) = 9.92
- ρ (g/cm³) = 2.0

Lattice parameters (Å, degrees): 6.883 7.524 8.248 108.53 90.00 117.22
Atoms (fractional coordinates):
Fe 0.801 0.602 0.308
Fe 0.199 0.398 0.692
Cl 0.372 0.745 0.821
Cl 0.628 0.255 0.179
Cl 0.835 0.670 0.586
Cl 0.881 0.256 0.773
Cl 0.119 0.744 0.227
Cl 0.625 0.744 0.227
Cl 0.375 0.256 0.773
Cl 0.165 0.330 0.414
K 0.000 0.000 0.000

# 4
A plane-wave DFT calculation with PBE was carried out for crystalline NdPa2N4 at its relaxed geometry.

Calculated values
- symmetry = Cmcm, No. 63
- formation energy from raw total energies (eV/atom) = -1.58
- N(E_F) (states/eV/cell) = 4.30
- ρ (g/cm³) = 10.0

Lattice parameters (Å, degrees): 3.480 6.054 10.850 90.00 90.00 106.70
Atoms (fractional coordinates):
N 0.229 0.459 0.605
N 0.500 0.000 0.000
N 0.040 0.080 0.250
N 0.960 0.920 0.750
N 0.500 0.000 0.500
N 0.771 0.541 0.105
N 0.229 0.459 0.895
N 0.771 0.541 0.395
Nd 0.391 0.782 0.250
Nd 0.609 0.218 0.750
Pa 0.131 0.262 0.429
Pa 0.869 0.738 0.571
Pa 0.869 0.738 0.929
Pa 0.131 0.262 0.071

# 5
A plane-wave DFT calculation with PBE was carried out for crystalline CdSbRh2 at its relaxed geometry.

Calculated values
- symmetry = R3m, No. 160
- formation energy from raw total energies (eV/atom) = -0.11
- N(E_F) (states/eV/cell) = 2.85
- ρ (g/cm³) = 9.3

Lattice parameters (Å, degrees): 4.085 4.085 5.945 69.90 69.90 60.00
Atoms (fractional coordinates):
Rh 0.267 0.267 0.200
Rh 0.068 0.068 0.797
Cd 0.494 0.494 0.519
Sb 0.672 0.672 0.984

# 6
A plane-wave DFT calculation with PBE was carried out for crystalline ScTl2Te at its relaxed geometry.

Calculated values
- symmetry = R3m, No. 160
- formation energy from raw total energies (eV/atom) = -0.38
- N(E_F) (states/eV/cell) = 1.59
- ρ (g/cm³) = 7.9

Lattice parameters (Å, degrees): 9.510 9.510 9.510 23.64 23.64 23.64
Atoms (fractional coordinates):
Tl 0.001 0.001 0.001
Tl 0.760 0.760 0.760
Sc 0.505 0.505 0.505
Te 0.234 0.234 0.234

# 7
A plane-wave DFT calculation with PBE was carried out for crystalline NaLa2ScFe at its relaxed geometry.

Calculated values
- symmetry = P4/mmm, No. 123
- formation energy (meV/atom) = 111
- N(E_F) (states/eV/cell) = 5.92
- ρ (g/cm³) = 4.5

Lattice parameters (Å, degrees): 5.375 5.375 5.135 90.00 90.00 90.00
Atoms (fractional coordinates):
La 0.500 0.000 0.000
La 0.000 0.500 0.000
Sc 0.000 0.000 0.500
Na 0.500 0.500 0.500
Fe 0.000 0.000 0.000

# 8
A plane-wave DFT calculation with PBE was carried out for crystalline CuAuCl2 at its relaxed geometry.

Calculated values
- symmetry = Immm, No. 71
- formation energy from raw total energies (eV/atom) = -0.03
- N(E_F) (states/eV/cell) = 1.03
- ρ (g/cm³) = 6.3

Lattice parameters (Å, degrees): 5.447 5.447 5.447 145.15 102.29 88.08
Atoms (fractional coordinates):
Au 0.250 0.750 0.500
Cl 0.535 0.535 0.000
Cl 0.965 0.965 0.000
Cu 0.750 0.250 0.500

# 9
A plane-wave DFT calculation with PBE was carried out for crystalline Mg3Si3Ni2 at its relaxed geometry.

Calculated values
- symmetry = Pnma, No. 62
- formation energy from raw total energies (eV/atom) = -0.31
- N(E_F) (states/eV/cell) = 11.27
- ρ (g/cm³) = 3.6

Lattice parameters (Å, degrees): 5.055 7.631 13.023 90.00 90.00 90.00
Atoms (fractional coordinates):
Ni 0.598 0.579 0.092
Ni 0.098 0.921 0.592
Ni 0.902 0.079 0.092
Ni 0.402 0.421 0.592
Ni 0.598 0.579 0.408
Ni 0.902 0.079 0.408
Ni 0.098 0.921 0.908
Ni 0.402 0.421 0.908
Si 0.132 0.204 0.539
Si 0.368 0.704 0.961
Si 0.868 0.796 0.039
Si 0.598 0.337 0.750
Si 0.132 0.204 0.961
Si 0.632 0.296 0.039
Si 0.868 0.796 0.461
Si 0.368 0.704 0.539
Si 0.402 0.663 0.250
Si 0.098 0.163 0.250
Si 0.632 0.296 0.461
Si 0.902 0.837 0.750
Mg 0.399 0.962 0.120
Mg 0.601 0.038 0.880
Mg 0.101 0.462 0.120
Mg 0.899 0.538 0.620
Mg 0.897 0.815 0.250
Mg 0.397 0.685 0.750
Mg 0.103 0.185 0.750
Mg 0.101 0.462 0.380
Mg 0.601 0.038 0.620
Mg 0.399 0.962 0.380
Mg 0.899 0.538 0.880
Mg 0.603 0.315 0.250

# 10
A plane-wave DFT calculation with PBE was carried out for crystalline SrFeRu at its relaxed geometry.

Calculated values
- symmetry = Pm, No. 6
- formation energy (meV/atom) = 320
- N(E_F) (states/eV/cell) = 7.14
- ρ (g/cm³) = 6.4

Lattice parameters (Å, degrees): 5.039 4.356 5.870 90.01 101.31 90.00
Atoms (fractional coordinates):
Sr 0.131 0.421 0.180
Sr 0.647 0.921 0.334
Ru 0.513 0.421 0.769
Ru 0.790 0.921 0.834
Fe 0.996 0.421 0.683
Fe 0.246 0.921 0.740

# 11
A plane-wave DFT calculation with PBE was carried out for crystalline TlCl3 at its relaxed geometry.

Calculated values
- symmetry = R-3m, No. 166
- formation energy from raw total energies (eV/atom) = -0.25
- N(E_F) (states/eV/cell) = 5.15
- ρ (g/cm³) = 4.8

Lattice parameters (Å, degrees): 7.103 7.103 7.103 35.26 35.26 35.26
Atoms (fractional coordinates):
Cl 0.500 0.500 0.500
Cl 0.265 0.265 0.265
Cl 0.735 0.735 0.735
Tl 0.000 0.000 0.000

# 12
A plane-wave DFT calculation with PBE was carried out for crystalline RbSn3Au at its relaxed geometry.

Calculated values
- symmetry = Pm-3m, No. 221
- formation energy (meV/atom) = 1514
- N(E_F) (states/eV/cell) = 5.30
- ρ (g/cm³) = 4.7

Lattice parameters (Å, degrees): 6.074 6.074 6.074 90.00 90.00 90.00
Atoms (fractional coordinates):
Sn 0.000 0.500 0.000
Sn 0.000 0.000 0.500
Sn 0.500 0.000 0.000
Au 0.500 0.500 0.500
Rb 0.000 0.000 0.000

# 13
A plane-wave DFT calculation with PBE was carried out for crystalline ReTeRu2 at its relaxed geometry.

Calculated values
- symmetry = P4mm, No. 99
- formation energy from raw total energies (eV/atom) = 0.52
- N(E_F) (states/eV/cell) = 3.94
- ρ (g/cm³) = 13.2

Lattice parameters (Å, degrees): 3.001 3.001 7.227 90.00 90.00 90.00
Atoms (fractional coordinates):
Re 0.500 0.500 0.771
Ru 0.000 0.000 0.984
Ru 0.500 0.500 0.259
Te 0.000 0.000 0.485

# 14
A plane-wave DFT calculation with PBE was carried out for crystalline Ce2MgU2Ru5 at its relaxed geometry.

Calculated values
- symmetry = P4/mbm, No. 127
- formation energy (meV/atom) = -165
- N(E_F) (states/eV/cell) = 30.14
- ρ (g/cm³) = 11.1

Lattice parameters (Å, degrees): 3.290 10.836 10.836 90.00 90.00 90.00
Atoms (fractional coordinates):
Ce 0.000 0.841 0.659
Ce 0.000 0.341 0.841
Ce 0.000 0.659 0.159
Ce 0.000 0.159 0.341
Ru 0.500 0.694 0.436
Ru 0.500 0.936 0.194
Ru 0.500 0.436 0.306
Ru 0.500 0.564 0.694
Ru 0.500 0.064 0.806
Ru 0.500 0.194 0.064
Ru 0.500 0.306 0.564
Ru 0.500 0.806 0.936
Ru 0.500 0.000 0.500
Ru 0.500 0.500 0.000
Mg 0.000 0.500 0.500
Mg 0.000 0.000 0.000
U 0.000 0.839 0.339
U 0.000 0.661 0.839
U 0.000 0.339 0.161
U 0.000 0.161 0.661

# 15
A plane-wave DFT calculation with PBE was carried out for crystalline ErHf2B6 at its relaxed geometry.

Calculated values
- symmetry = P6/mmm, No. 191
- formation energy (meV/atom) = -888
- N(E_F) (states/eV/cell) = 1.10
- ρ (g/cm³) = 10.4

Lattice parameters (Å, degrees): 3.581 5.519 5.519 120.00 90.00 90.00
Atoms (fractional coordinates):
Er 0.000 0.000 0.000
B 0.500 0.000 0.663
B 0.500 0.663 0.000
B 0.500 0.663 0.663
B 0.500 0.337 0.337
B 0.500 0.337 0.000
B 0.500 0.000 0.337
Hf 0.000 0.333 0.667
Hf 0.000 0.667 0.333

# 16
A plane-wave DFT calculation with PBE was carried out for crystalline PaAl8Fe4 at its relaxed geometry.

Calculated values
- symmetry = I4/mmm, No. 139
- formation energy (meV/atom) = -387
- N(E_F) (states/eV/cell) = 7.91
- ρ (g/cm³) = 5.9

Lattice parameters (Å, degrees): 5.011 6.643 6.643 81.82 67.84 67.84
Atoms (fractional coordinates):
Al 0.000 0.656 0.344
Al 0.720 0.780 0.780
Al 0.656 0.344 0.344
Al 0.500 0.780 0.220
Al 0.344 0.656 0.656
Al 0.500 0.220 0.780
Al 0.000 0.344 0.656
Al 0.280 0.220 0.220
Fe 0.500 0.500 0.000
Fe 0.000 0.000 0.500
Fe 0.000 0.500 0.000
Fe 0.500 0.000 0.500
Pa 0.000 0.000 0.000

# 17
A plane-wave DFT calculation with PBE was carried out for crystalline Pa2ReAg at its relaxed geometry.

Calculated values
- symmetry = R-3m, No. 166
- formation energy (meV/atom) = 351
- N(E_F) (states/eV/cell) = 6.57
- ρ (g/cm³) = 14.2

Lattice parameters (Å, degrees): 3.069 3.069 10.972 81.96 81.96 60.00
Atoms (fractional coordinates):
Re 0.500 0.500 0.500
Pa 0.905 0.905 0.285
Pa 0.095 0.095 0.715
Ag 0.000 0.000 0.000

# 18
A plane-wave DFT calculation with PBE was carried out for crystalline TiBiMo at its relaxed geometry.

Calculated values
- symmetry = I4/mmm, No. 139
- formation energy (meV/atom) = -104
- N(E_F) (states/eV/cell) = 6.16
- ρ (g/cm³) = 8.8

Lattice parameters (Å, degrees): 3.316 3.316 12.286 97.76 97.76 90.00
Atoms (fractional coordinates):
Bi 0.580 0.580 0.159
Bi 0.420 0.420 0.841
Mo 0.718 0.718 0.437
Mo 0.282 0.282 0.563
Ti 0.160 0.160 0.320
Ti 0.840 0.840 0.680

# 19
A plane-wave DFT calculation with PBE was carried out for crystalline Ac2DyIn3Hg12 at its relaxed geometry.

Calculated values
- symmetry = R-3m, No. 166
- formation energy (meV/atom) = -150
- N(E_F) (states/eV/cell) = 13.11
- ρ (g/cm³) = 10.5

Lattice parameters (Å, degrees): 13.424 13.424 13.424 29.84 29.84 29.84
Atoms (fractional coordinates):
Hg 0.407 0.854 0.407
Hg 0.409 0.875 0.875
Hg 0.125 0.125 0.591
Hg 0.591 0.125 0.125
Hg 0.407 0.407 0.854
Hg 0.146 0.593 0.593
Hg 0.854 0.407 0.407
Hg 0.593 0.593 0.146
Hg 0.875 0.875 0.409
Hg 0.125 0.591 0.125
Hg 0.593 0.146 0.593
Hg 0.875 0.409 0.875
Ac 0.638 0.638 0.638
Ac 0.362 0.362 0.362
In 0.000 0.000 0.500
In 0.500 0.000 0.000
In 0.000 0.500 0.000
Dy 0.000 0.000 0.000

# 20
A plane-wave DFT calculation with PBE was carried out for crystalline PrIn2IrO8 at its relaxed geometry.

Calculated values
- symmetry = P2/m, No. 10
- formation energy from raw total energies (eV/atom) = -1.43
- N(E_F) (states/eV/cell) = 5.13
- ρ (g/cm³) = 6.8

Lattice parameters (Å, degrees): 4.974 4.956 6.809 90.00 90.00 90.24
Atoms (fractional coordinates):
O 0.324 0.319 0.500
O 0.814 0.191 0.796
O 0.186 0.809 0.204
O 0.814 0.191 0.204
O 0.715 0.720 0.000
O 0.676 0.681 0.500
O 0.285 0.280 0.000
O 0.186 0.809 0.796
In 0.500 0.500 0.243
In 0.500 0.500 0.757
Ir 0.000 0.000 0.000
Pr 0.000 0.000 0.500